Entry from Alexandria via LeMat-Bulk: a relaxed Sr2CaAuO crystal (PBE-GGA).

Results
E_tot	-4.087	eV/atom
total magnetization	0.000	μB per atom
symmetry	P4/mmm, No. 123
formation energy (no corrections)	-1.367	eV per atom

Unit cell a=5.181 b=5.181 c=4.726 alpha=90.00 beta=90.00 gamma=90.00
Fractional positions:
Ca 0.000 0.000 0.500
Sr 0.500 0.000 0.000
Sr 0.000 0.500 0.000
Au 0.500 0.500 0.500
O 0.000 0.000 0.000

---

Entry from Alexandria via LeMat-Bulk: a relaxed Sr2CaAu2O6 crystal (PBE-GGA).

Results
E_tot	-5.068	eV/atom
total magnetization	0.000	μB per atom
symmetry	R-3m, No. 166
formation energy (no corrections)	-1.280	eV per atom

Unit cell a=6.127 b=6.127 c=7.077 alpha=64.35 beta=64.35 gamma=60.00
Fractional positions:
O 0.194 0.761 0.284
O 0.239 0.239 0.716
O 0.806 0.239 0.716
O 0.761 0.194 0.284
O 0.239 0.806 0.716
O 0.761 0.761 0.284
Sr 0.798 0.798 0.605
Sr 0.202 0.202 0.395
Ca 0.000 0.000 0.000
Au 0.581 0.581 0.257
Au 0.419 0.419 0.743

---

Entry from Alexandria via LeMat-Bulk: a relaxed SrCaAuO3 crystal (PBE-GGA).

Results
E_tot	-5.529	eV/atom
total magnetization	0.000	μB per atom
symmetry	C2/m, No. 12
formation energy (no corrections)	-1.890	eV per atom

Unit cell a=4.346 b=6.846 c=6.908 alpha=104.94 beta=90.00 gamma=108.50
Fractional positions:
Ca 0.647 0.294 0.574
Ca 0.353 0.706 0.426
O 0.162 0.325 0.820
O 0.829 0.657 0.664
O 0.498 0.996 0.734
O 0.838 0.675 0.180
O 0.171 0.343 0.336
O 0.502 0.004 0.266
Au 0.004 0.008 0.262
Au 0.996 0.992 0.738
Sr 0.352 0.705 0.924
Sr 0.648 0.295 0.076

---

Entry from Alexandria via LeMat-Bulk: a relaxed CaTbAuO4 crystal (PBE-GGA).

Results
E_tot	-6.036	eV/atom
total magnetization	0.280	μB per atom
symmetry	Cmcm, No. 63
formation energy (no corrections)	-1.787	eV per atom

Unit cell a=6.156 b=6.156 c=6.769 alpha=90.00 beta=90.00 gamma=121.19
Each line ends with the local moment (μB).
Fractional positions:
O 0.221 0.242 0.250  0.24
O 0.719 0.281 0.525  0.28
O 0.281 0.719 0.475  0.28
O 0.779 0.758 0.750  0.24
O 0.281 0.719 0.025  0.28
O 0.719 0.281 0.975  0.28
O 0.758 0.779 0.250  0.24
O 0.242 0.221 0.750  0.24
Tb 0.831 0.169 0.250  0.01
Tb 0.169 0.831 0.750  0.01
Au 0.144 0.856 0.250  0.64
Au 0.856 0.144 0.750  0.64
Ca 0.500 0.500 0.500  0.01
Ca 0.500 0.500 0.000  0.01

---

Entry from Alexandria via LeMat-Bulk: a relaxed CaTc2AuO crystal (PBE-GGA).

Results
E_tot	-4.851	eV/atom
total magnetization	1.326	μB per atom
symmetry	P4/mmm, No. 123
formation energy (no corrections)	1.343	eV per atom

Unit cell a=5.224 b=4.122 c=5.224 alpha=90.00 beta=90.00 gamma=90.00
Each line ends with the local moment (μB).
Fractional positions:
O 0.000 0.500 0.000  0.15
Ca 0.500 0.500 0.500  0.00
Tc 0.500 0.000 0.000  2.61
Tc 0.000 0.000 0.500  2.90
Au 0.000 0.000 0.000  0.17

---

Entry from Alexandria via LeMat-Bulk: a relaxed CaTcAuO2 crystal (PBE-GGA).

Results
E_tot	-4.667	eV/atom
total magnetization	1.212	μB per atom
symmetry	P4/mmm, No. 123
formation energy (no corrections)	0.445	eV per atom

Unit cell a=4.168 b=7.143 c=4.168 alpha=90.00 beta=90.00 gamma=90.00
Each line ends with the local moment (μB).
Fractional positions:
O 0.000 0.000 0.500  0.92
O 0.500 0.000 0.000  0.56
Au 0.500 0.500 0.500  0.13
Tc 0.000 0.500 0.000  3.54
Ca 0.000 0.000 0.000  0.01

---

Entry from Alexandria via LeMat-Bulk: a relaxed CaTlAuO4 crystal (PBE-GGA).

Results
E_tot	-4.976	eV/atom
total magnetization	0.000	μB per atom
symmetry	Imma, No. 74
formation energy (no corrections)	-1.050	eV per atom

Unit cell a=6.336 b=7.240 c=6.560 alpha=116.94 beta=90.00 gamma=115.95
Fractional positions:
Au 0.000 0.500 0.500
Au 0.500 0.500 0.500
O 0.298 0.054 0.777
O 0.266 0.531 0.716
O 0.734 0.469 0.685
O 0.702 0.946 0.223
O 0.756 0.054 0.777
O 0.734 0.469 0.284
O 0.266 0.531 0.315
O 0.244 0.946 0.223
Ca 0.143 0.287 0.893
Ca 0.857 0.713 0.107
Tl 0.500 0.000 0.500
Tl 0.500 0.000 0.000

---

Entry from Alexandria via LeMat-Bulk: a relaxed CaTmAuO4 crystal (PBE-GGA).

Results
E_tot	-6.032	eV/atom
total magnetization	0.284	μB per atom
symmetry	Cmcm, No. 63
formation energy (no corrections)	-1.806	eV per atom

Unit cell a=6.113 b=6.113 c=6.714 alpha=90.00 beta=90.00 gamma=120.01
Each line ends with the local moment (μB).
Fractional positions:
O 0.783 0.754 0.750  0.24
O 0.217 0.246 0.250  0.24
O 0.754 0.783 0.250  0.24
O 0.721 0.279 0.982  0.28
O 0.721 0.279 0.518  0.28
O 0.246 0.217 0.750  0.24
O 0.279 0.721 0.018  0.28
O 0.279 0.721 0.482  0.28
Tm 0.834 0.166 0.250  0.03
Tm 0.166 0.834 0.750  0.03
Ca 0.500 0.500 0.500  0.01
Ca 0.500 0.500 0.000  0.01
Au 0.858 0.142 0.750  0.66
Au 0.142 0.858 0.250  0.66